Record 1
Density functional theory data (GGA-PBE) for a relaxed LiSn2Sb crystal.

Excess energy over the best structure of this formula in the dataset (kJ per mole of atoms): 4.9
Formation energy from raw total energies (eV per atom): -0.09

Cell and atoms, written as extended XYZ:
```
4
Lattice="4.667 0.000 1.692 2.045 4.000 1.641 0.199 0.250 6.733" Properties=species:S:1:pos:R:3 pbc="T T T"
Sn 5.610 1.980 6.373
Sn 2.873 3.052 6.639
Sb 1.878 1.107 2.101
Li 4.354 0.047 2.556
```

Record 2
Density functional theory data (GGA-PBE) for a relaxed ZrGa2ReC crystal.

E_form (eV per atom): 0.678

Cell and atoms, written as extended XYZ:
```
5
Lattice="-3.488 2.413 -2.390 -2.693 -2.333 1.574 -0.456 3.062 3.757" Properties=species:S:1:pos:R:3 pbc="T T T"
Re 0.000 0.000 0.000
Zr -3.318 1.571 1.471
C -1.347 -1.166 0.787
Ga -0.228 1.531 1.879
Ga -1.744 1.207 -1.195
```

Record 3
Density functional theory data (GGA-PBE) for a relaxed CuGe2F2 crystal.

Formation energy from raw total energies (eV per atom): -0.96

Cell and atoms, written as extended XYZ:
```
10
Lattice="6.308 0.000 0.000 0.000 6.308 0.000 0.000 0.000 4.168" Properties=species:S:1:pos:R:3 pbc="T T T"
Ge 4.114 5.348 0.000
Ge 5.348 2.194 0.000
Ge 0.960 4.114 0.000
Ge 2.194 0.960 0.000
F 1.033 4.187 2.084
F 4.187 5.275 2.084
F 2.121 1.033 2.084
F 5.275 2.121 2.084
Cu 0.000 0.000 0.000
Cu 3.154 3.154 0.000
```

Record 4
Density functional theory data (GGA-PBE) for a relaxed LaWS3 crystal.

Excess energy over the best structure of this formula in the dataset (kJ per mole of atoms): 0.0
Formation energy from raw total energies (eV per atom): -0.90

Cell and atoms, written as extended XYZ:
```
5
Lattice="4.710 0.000 0.000 0.000 4.710 0.000 0.000 0.000 4.710" Properties=species:S:1:pos:R:3 pbc="T T T"
S 2.355 0.000 0.000
S 0.000 0.000 2.355
S 0.000 2.355 0.000
La 2.355 2.355 2.355
W 0.000 0.000 0.000
```

Record 5
Density functional theory data (GGA-PBE) for a relaxed La2YHo3As6 crystal.

E_form (eV per atom): -1.532

Cell and atoms, written as extended XYZ:
```
12
Lattice="-3.823 1.621 0.638 -1.688 -6.135 5.479 5.562 5.735 4.923" Properties=species:S:1:pos:R:3 pbc="T T T"
As 0.871 -1.321 8.575
As 1.292 5.780 6.885
As 1.769 1.902 5.766
As -0.819 2.542 2.465
As -1.717 -0.681 5.273
As -1.240 -4.559 4.155
Ho -0.190 -2.935 6.321
Ho -2.755 -2.257 3.058
Ho 0.241 4.156 4.719
La -0.596 1.089 7.493
La 0.648 0.132 3.546
Y -1.911 0.811 0.319
```

Record 6
Density functional theory data (GGA-PBE) for a relaxed Ce6ZnHg2 crystal.

Excess energy over the best structure of this formula in the dataset (kJ per mole of atoms): 1.5
E_form (eV per atom): -0.117

Cell and atoms, written as extended XYZ:
```
9
Lattice="3.376 0.000 0.000 0.000 8.983 0.000 0.000 -4.491 7.779" Properties=species:S:1:pos:R:3 pbc="T T T"
Ce 0.000 -1.649 2.856
Ce 1.688 6.455 0.000
Ce 1.688 1.264 2.189
Ce 0.000 2.843 4.924
Ce 0.000 3.298 0.000
Ce 1.688 -3.228 5.590
Hg 1.688 0.000 5.186
Hg 1.688 4.491 2.593
Zn 0.000 0.000 0.000
```

Record 7
Density functional theory data (GGA-PBE) for a relaxed AgPbSe crystal.

Formation energy from raw total energies (eV per atom): -0.13

Cell and atoms, written as extended XYZ:
```
3
Lattice="-1.635 0.763 3.786 -0.402 -3.799 -1.731 4.297 -1.431 2.143" Properties=species:S:1:pos:R:3 pbc="T T T"
Se 2.865 -2.119 3.987
Ag 3.024 -1.007 1.509
Pb 0.667 -2.771 0.847
```

Record 8
Density functional theory data (GGA-PBE) for a relaxed TlP2Se crystal.

Excess energy over the best structure of this formula in the dataset (kJ per mole of atoms): 37.2
Formation energy from raw total energies (eV per atom): 0.45

Cell and atoms, written as extended XYZ:
```
4
Lattice="8.363 -0.040 -0.119 -4.658 4.155 0.041 -0.954 0.828 2.463" Properties=species:S:1:pos:R:3 pbc="T T T"
P 3.705 0.394 1.172
P 0.000 0.000 0.000
Se -2.806 2.492 1.252
Tl 1.852 2.057 -0.039
```

Record 9
Density functional theory data (GGA-PBE) for a relaxed KBa2SmBi2O9 crystal.

Formation energy from raw total energies (eV per atom): -1.21

Cell and atoms, written as extended XYZ:
```
15
Lattice="1.652 6.220 -0.691 -5.650 -1.562 2.744 3.773 -0.148 7.686" Properties=species:S:1:pos:R:3 pbc="T T T"
O 2.713 3.036 3.497
O 0.721 1.304 2.227
O -1.987 -0.710 7.946
O 1.761 5.220 1.792
O -0.939 -0.855 5.215
O -1.796 4.236 3.520
O -0.947 3.206 7.511
O -0.113 2.255 4.869
O 1.571 0.274 6.219
Ba 0.051 3.593 2.150
Ba -0.276 0.917 7.588
Bi 1.605 3.533 5.317
Bi -1.831 0.978 4.422
Sm 1.887 -0.074 3.843
K 0.000 0.000 0.000
```

Record 10
Density functional theory data (GGA-PBE) for a relaxed Zn2HgH crystal.

Excess energy over the best structure of this formula in the dataset (kJ per mole of atoms): 25.0

Cell and atoms, written as extended XYZ:
```
4
Lattice="-1.433 -4.254 0.226 -4.224 -0.885 1.255 -2.964 -1.537 -3.010" Properties=species:S:1:pos:R:3 pbc="T T T"
Zn -6.465 -5.007 -1.146
Zn -2.155 -1.669 -0.382
Hg -4.310 -3.338 -0.764
H 0.000 0.000 0.000
```

Record 11
Density functional theory data (GGA-PBE) for a relaxed DyMg2Pb crystal.

Excess energy over the best structure of this formula in the dataset (kJ per mole of atoms): 0.0
E_form (eV per atom): -0.301

Cell and atoms, written as extended XYZ:
```
4
Lattice="4.806 0.000 0.000 0.000 4.561 0.000 0.000 0.000 4.561" Properties=species:S:1:pos:R:3 pbc="T T T"
Pb 2.403 0.000 0.000
Mg 0.000 0.000 2.280
Mg 0.000 2.280 0.000
Dy 2.403 2.280 2.280
```

Record 12
Density functional theory data (GGA-PBE) for a relaxed KMnIn crystal.

Excess energy over the best structure of this formula in the dataset (kJ per mole of atoms): 32.3
E_form (eV per atom): 0.706

Cell and atoms, written as extended XYZ:
```
3
Lattice="-5.019 0.103 0.971 -2.694 -4.347 0.000 -1.793 -1.897 4.397" Properties=species:S:1:pos:R:3 pbc="T T T"
Mn -7.129 -4.606 4.026
In 0.000 0.000 0.000
K -4.753 -3.070 2.684
```

| no. | Fermi-level density of states (states/eV per atom) |
| --- | --- |
| 1 | 0.16 |
| 2 | 0.85 |
| 3 | 0.16 |
| 4 | 0.72 |
| 5 | 0.14 |
| 6 | 3.04 |
| 7 | 0.59 |
| 8 | 0.41 |
| 9 | 0.20 |
| 10 | 0.37 |
| 11 | 0.31 |
| 12 | 1.43 |